Below is a geometry-optimized Tb4Pr8Tm3 structure, with properties calculated at the PBE level.

Calculated values
Symmetry   C2/m
Magnetic moment   0.000 μB per cell
VASP energy   -4.351 eV/atom

Cell: 6.913 9.250 9.250 Å, 83.13 110.63 110.63°
Atoms (fractional coordinates):
Pr: 0.295 0.244 0.244
Pr: 0.170 0.703 0.703
Pr: 0.500 0.247 0.753
Pr: 0.705 0.756 0.756
Pr: 0.500 0.753 0.247
Pr: 0.830 0.297 0.297
Pr: 0.000 0.295 0.705
Pr: 0.000 0.705 0.295
Tb: 0.500 0.000 0.000
Tb: 0.000 0.500 0.000
Tb: 0.000 0.000 0.000
Tb: 0.000 0.000 0.500
Tm: 0.500 0.000 0.500
Tm: 0.500 0.500 0.000
Tm: 0.500 0.500 0.500